# 1
SiB3Te | PBE | optimized geometry

Cell lengths 4.1374, 4.1374, 4.1374 Å; angles 90.00, 90.00, 90.00 degrees
With the nearest neighbours (Å) after each atom.
Positions (direct):
Si  0.0000  0.0000  0.0000  6 B 2.07
B  0.0000  0.0000  0.5000  2 Si 2.07
B  0.0000  0.5000  0.0000  2 Si 2.07
B  0.5000  0.0000  0.0000  2 Si 2.07
Te  0.5000  0.5000  0.5000  12 B 2.93

## Properties
Relative energy among the computed polymorphs (meV/atom): 0
Calculated volume (Å³/atom): 14.16
Space group: Pm-3m (221)
Formation energy from raw total energies (meV per atom): 1427
Total magnetization (μB/cell): 0.00

# 2
Tm2Zn2Ni5Ge | PBE | optimized geometry

Cell lengths 9.2607, 9.2607, 3.4694 Å; angles 90.00, 90.00, 90.00 degrees
With the nearest neighbours (Å) after each atom.
Positions (direct):
Tm  0.1767  0.3233  0.0000  3 Zn 2.65-2.81, 2 Ni 2.89
Tm  0.3233  0.8233  0.0000  3 Zn 2.65-2.81, 2 Ni 2.89
Tm  0.6767  0.1767  0.0000  3 Zn 2.65-2.81, 2 Ni 2.89
Tm  0.8233  0.6767  0.0000  3 Zn 2.65-2.81, 2 Ni 2.89
Zn  0.1211  0.6211  0.0000  6 Ni 2.35-2.48
Zn  0.3789  0.1211  0.0000  6 Ni 2.35-2.48
Zn  0.6211  0.8789  0.0000  6 Ni 2.35-2.48
Zn  0.8789  0.3789  0.0000  6 Ni 2.35-2.48
Ni  0.0000  0.5000  0.5000  4 Zn 2.35
Ni  0.0571  0.8009  0.5000  2 Zn 2.48, 2 Ge 2.59, 2 Ni 2.71
Ni  0.1991  0.0571  0.5000  2 Zn 2.48, 2 Ge 2.59, 2 Ni 2.71
Ni  0.3009  0.5571  0.5000  2 Zn 2.48, 2 Ge 2.59, 2 Ni 2.71
Ni  0.4429  0.3009  0.5000  2 Zn 2.48, 2 Ge 2.59, 2 Ni 2.71
Ni  0.5000  0.0000  0.5000  4 Zn 2.35
Ni  0.5571  0.6991  0.5000  2 Zn 2.48, 2 Ge 2.59, 2 Ni 2.71
Ni  0.6991  0.4429  0.5000  2 Zn 2.48, 2 Ge 2.59, 2 Ni 2.71
Ni  0.8009  0.9429  0.5000  2 Zn 2.48, 2 Ge 2.59, 2 Ni 2.71
Ni  0.9429  0.1991  0.5000  2 Zn 2.48, 2 Ge 2.59, 2 Ni 2.71
Ge  0.0000  0.0000  0.0000  8 Ni 2.59
Ge  0.5000  0.5000  0.0000  8 Ni 2.59

## Properties
ΔE_f (meV/atom): -320
Calculated volume (Å³/atom): 14.88
Space group: P4/mbm (127)
Total magnetization (μB/cell): 0.00

# 3
PmRu3C | PBE | optimized geometry

Cell lengths 4.2018, 4.2018, 4.2018 Å; angles 90.00, 90.00, 90.00 degrees
With the nearest neighbours (Å) after each atom.
Positions (direct):
Pm  0.0000  0.0000  0.0000  12 Ru 2.97
Ru  0.0000  0.5000  0.5000  2 C 2.10
Ru  0.5000  0.0000  0.5000  2 C 2.10
Ru  0.5000  0.5000  0.0000  2 C 2.10
C  0.5000  0.5000  0.5000  6 Ru 2.10

## Properties
ΔE_f (meV/atom): -95
Calculated volume (Å³/atom): 14.84
Space group: Pm-3m (221)
Total magnetization (μB/cell): 0.00

# 4
Ho6Pd5Ru | PBE | optimized geometry

Cell lengths 4.9376, 6.8962, 7.7810 Å; angles 90.00, 108.29, 90.00 degrees
With the nearest neighbours (Å) after each atom.
Positions (direct):
Ho  0.0000  0.2441  0.0000  2 Ru 2.99, 6 Pd 2.99-3.05
Ho  0.0000  0.7559  0.0000  2 Ru 2.99, 6 Pd 2.99-3.05
Ho  0.3371  0.2466  0.6738  1 Ru 2.95, 7 Pd 2.98-3.05
Ho  0.3371  0.7534  0.6738  1 Ru 2.95, 7 Pd 2.98-3.05
Ho  0.6629  0.2466  0.3262  1 Ru 2.95, 7 Pd 2.98-3.05
Ho  0.6629  0.7534  0.3262  1 Ru 2.95, 7 Pd 2.98-3.05
Pd  0.1676  0.0000  0.3346  8 Ho 2.99-3.03
Pd  0.1676  0.5000  0.3359  8 Ho 3.02-3.05
Pd  0.5000  0.5000  0.0000  8 Ho 2.98-3.03
Pd  0.8324  0.0000  0.6654  8 Ho 2.99-3.03
Pd  0.8324  0.5000  0.6641  8 Ho 3.02-3.05
Ru  0.5000  0.0000  0.0000  8 Ho 2.95-2.99

## Properties
ΔE_f (meV/atom): -836
Calculated volume (Å³/atom): 20.96
Space group: P2/m (10)
Total magnetization (μB/cell): 0.00

# 5
HoThIn | PBE | optimized geometry

Cell lengths 3.2523, 5.4529, 9.5213 Å; angles 90.00, 90.00, 90.00 degrees
With the nearest neighbours (Å) after each atom.
Positions (direct):
Ho  0.0000  0.0000  0.1640  3 Ho 3.12-3.25, 2 Th 3.18
Ho  0.0000  0.0000  0.8360  3 Ho 3.12-3.25, 2 Th 3.18
Th  0.0000  0.5000  0.3362  3 Th 3.12-3.25, 2 Ho 3.18
Th  0.0000  0.5000  0.6638  3 Th 3.12-3.25, 2 Ho 3.18
In  0.5000  0.0000  0.5000  2 In 3.25, 8 Th 3.54, 4 Ho 3.59
In  0.5000  0.5000  0.0000  2 In 3.25, 8 Ho 3.54, 4 Th 3.59

## Properties
Relative energy among the computed polymorphs (meV/atom): 305
ΔE_f (meV/atom): 37
Calculated volume (Å³/atom): 28.14
Space group: Pmmm (47)
Total magnetization (μB/cell): 0.00